Entry 1:
An optimized crystal structure of LiHg2Sb2, computed with PBE-GGA.

CIF file:
```
data_LiHg2Sb2
_chemical_formula_sum 'Li2 Hg4 Sb4'
_space_group_name_H-M_alt 'P 4/m b m'
_space_group_IT_number 127
_space_group_name_Hall '-P 4 2ab'
_cell_length_a 7.631
_cell_length_b 7.631
_cell_length_c 4.528
_cell_angle_alpha 90.00
_cell_angle_beta 90.00
_cell_angle_gamma 90.00
loop_
_atom_site_label
_atom_site_type_symbol
_atom_site_fract_x
_atom_site_fract_y
_atom_site_fract_z
_atom_site_occupancy
Li1 Li 0.000 0.000 0.000 1
Hg1 Hg 0.170 0.330 0.500 1
Sb1 Sb 0.137 0.637 0.000 1
```

Its total energy is -0.1589 Ry per atom. The excess energy over the best structure of this formula in the dataset is 0 meV/atom. Its total moment is 0.000 μB/f.u.


Entry 2:
An optimized crystal structure of LiLaYTc, computed with PBE-GGA.

CIF file:
```
data_LiLaYTc
_chemical_formula_sum 'Li4 La4 Y4 Tc4'
_space_group_name_H-M_alt 'F -4 3 m'
_space_group_IT_number 216
_space_group_name_Hall 'F -4 2 3'
_cell_length_a 7.138
_cell_length_b 7.138
_cell_length_c 7.138
_cell_angle_alpha 90.00
_cell_angle_beta 90.00
_cell_angle_gamma 90.00
loop_
_atom_site_label
_atom_site_type_symbol
_atom_site_fract_x
_atom_site_fract_y
_atom_site_fract_z
_atom_site_occupancy
Li1 Li 0.000 0.000 0.000 1
La1 La 0.250 0.250 0.750 1
Y1 Y 0.250 0.250 0.250 1
Tc1 Tc 0.000 0.000 0.500 1
```

Its total energy is -0.4324 Ry per atom. The formation energy comes out at 0.8 kcal/mol of atoms. Its total moment is 0.000 μB/f.u.


Entry 3:
An optimized crystal structure of PmTm2Th, computed with PBE-GGA.

CIF file:
```
data_PmTm2Th
_chemical_formula_sum 'Pm3 Tm6 Th3'
_space_group_name_H-M_alt 'R -3 m'
_space_group_IT_number 166
_space_group_name_Hall '-R 3 2"'
_cell_length_a 3.5643
_cell_length_b 3.5643
_cell_length_c 34.3541
_cell_angle_alpha 90.00
_cell_angle_beta 90.00
_cell_angle_gamma 120.00
loop_
_atom_site_label
_atom_site_type_symbol
_atom_site_fract_x
_atom_site_fract_y
_atom_site_fract_z
_atom_site_occupancy
Pm1 Pm 0.0000 0.0000 0.0000 1
Tm1 Tm 0.0000 0.0000 0.2481 1
Th1 Th 0.0000 0.0000 0.5000 1
```

Its total energy is -0.3867 Ry per atom. The formation energy comes out at 0.4 kcal/mol of atoms. The excess energy over the best structure of this formula in the dataset is 4 meV/atom. Its total moment is 0.000 μB/f.u.


Entry 4:
An optimized crystal structure of SrSb2Pb, computed with PBE-GGA.

CIF file:
```
data_SrSb2Pb
_chemical_formula_sum 'Sr2 Sb4 Pb2'
_space_group_name_H-M_alt 'C m m m'
_space_group_IT_number 65
_space_group_name_Hall '-C 2 2'
_cell_length_a 6.886
_cell_length_b 7.812
_cell_length_c 4.583
_cell_angle_alpha 90.00
_cell_angle_beta 90.00
_cell_angle_gamma 90.00
loop_
_atom_site_label
_atom_site_type_symbol
_atom_site_fract_x
_atom_site_fract_y
_atom_site_fract_z
_atom_site_occupancy
Sr1 Sr 0.000 0.000 0.000 1
Sb1 Sb 0.250 0.250 0.500 1
Pb1 Pb 0.000 0.500 0.000 1
```

Its total energy is -0.2826 Ry per atom. Its total moment is 0.000 μB/f.u.


Entry 5:
An optimized crystal structure of TlCu3Ag4Cl12, computed with PBE-GGA.

CIF file:
```
data_TlCu3Ag4Cl12
_chemical_formula_sum 'Tl2 Cu6 Ag8 Cl24'
_space_group_name_H-M_alt 'I m -3'
_space_group_IT_number 204
_space_group_name_Hall '-I 2 2 3'
_cell_length_a 9.803
_cell_length_b 9.803
_cell_length_c 9.803
_cell_angle_alpha 90.00
_cell_angle_beta 90.00
_cell_angle_gamma 90.00
loop_
_atom_site_label
_atom_site_type_symbol
_atom_site_fract_x
_atom_site_fract_y
_atom_site_fract_z
_atom_site_occupancy
Tl1 Tl 0.000 0.000 0.000 1
Cu1 Cu 0.000 0.000 0.500 1
Ag1 Ag 0.250 0.250 0.250 1
Cl1 Cl 0.000 0.163 0.330 1
```

Its total energy is -0.2137 Ry per atom. Its total moment is 2.869 μB/f.u.


Entry 6:
An optimized crystal structure of NdSmY5Er2, computed with PBE-GGA.

CIF file:
```
data_NdSmY5Er2
_chemical_formula_sum 'Nd4 Sm4 Y20 Er8'
_space_group_name_H-M_alt 'C m c 21'
_space_group_IT_number 36
_cell_length_a 5.646
_cell_length_b 20.095
_cell_length_c 10.514
_cell_angle_alpha 90.00
_cell_angle_beta 90.00
_cell_angle_gamma 90.00
loop_
_space_group_symop_operation_xyz
'x,y,z'
'-x,-y,z+1/2'
'-x,y,z'
'x,-y,z+1/2'
'x+1/2,y+1/2,z'
'-x+1/2,-y+1/2,z+1/2'
'-x+1/2,y+1/2,z'
'x+1/2,-y+1/2,z+1/2'
loop_
_atom_site_label
_atom_site_type_symbol
_atom_site_fract_x
_atom_site_fract_y
_atom_site_fract_z
_atom_site_occupancy
Nd1 Nd 0.000 0.085 0.000 1
Sm1 Sm 0.000 0.303 0.568 1
Y1 Y 0.000 0.022 0.290 1
Y2 Y 0.000 0.113 0.578 1
Y3 Y 0.000 0.201 0.261 1
Y4 Y 0.000 0.221 0.872 1
Y5 Y 0.000 0.483 0.577 1
Er1 Er 0.000 0.387 0.874 1
Er2 Er 0.000 0.388 0.288 1
```

Its total energy is -0.4042 Ry per atom. The formation energy comes out at 3.7 kcal/mol of atoms. Its total moment is 0.000 μB/f.u.


Entry 7:
An optimized crystal structure of NiMo2Os, computed with PBE-GGA.

CIF file:
```
data_NiMo2Os
_chemical_formula_sum 'Ni3 Mo6 Os3'
_space_group_name_H-M_alt 'R -3 m'
_space_group_IT_number 166
_space_group_name_Hall '-R 3 2"'
_cell_length_a 2.7280
_cell_length_b 2.7280
_cell_length_c 26.8971
_cell_angle_alpha 90.00
_cell_angle_beta 90.00
_cell_angle_gamma 120.00
loop_
_atom_site_label
_atom_site_type_symbol
_atom_site_fract_x
_atom_site_fract_y
_atom_site_fract_z
_atom_site_occupancy
Ni1 Ni 0.0000 0.0000 0.0000 1
Mo1 Mo 0.0000 0.0000 0.2519 1
Os1 Os 0.0000 0.0000 0.5000 1
```

Its total energy is -0.6990 Ry per atom. The formation energy comes out at 3.6 kcal/mol of atoms. The excess energy over the best structure of this formula in the dataset is 168 meV/atom. Its total moment is 0.000 μB/f.u.


Entry 8:
An optimized crystal structure of Sn2Hg3Pb2, computed with PBE-GGA.

CIF file:
```
data_Sn2Hg3Pb2
_chemical_formula_sum 'Sn4 Hg6 Pb4'
_space_group_name_H-M_alt 'P 1 21/c 1'
_space_group_IT_number 14
_cell_length_a 6.729
_cell_length_b 10.413
_cell_length_c 5.853
_cell_angle_alpha 90.00
_cell_angle_beta 98.12
_cell_angle_gamma 90.00
loop_
_space_group_symop_operation_xyz
'x,y,z'
'-x,-y,-z'
'-x,y+1/2,-z+1/2'
'x,-y+1/2,z+1/2'
loop_
_atom_site_label
_atom_site_type_symbol
_atom_site_fract_x
_atom_site_fract_y
_atom_site_fract_z
_atom_site_occupancy
Sn1 Sn 0.119 0.208 0.020 1
Hg1 Hg 0.000 0.000 0.500 1
Hg2 Hg 0.280 0.561 0.551 1
Pb1 Pb 0.461 0.655 0.090 1
```

Its total energy is -0.1670 Ry per atom. The formation energy comes out at 1.4 kcal/mol of atoms. The excess energy over the best structure of this formula in the dataset is 20 meV/atom. Its total moment is 0.000 μB/f.u.